15
Lattice="-4.133 7.155 3.761 -2.522 -8.416 2.282 8.317 3.218 3.017" Properties=species:S:1:pos:R:3 comment="Ba3Er3AgTe8 PBE optimized geometry" raw_formation_energy_kj_per_mol_atoms=-126 rho_g_cm3=6.07 volume_a3_per_atom=37.2 magmom_total_mub_per_fu=0.00 space_group="R-3m, No. 166" final_energy_ev_per_atom=-4.47 dos_ef_per_ev_atom=0.15 pbc="T T T"
Ba 0.000 0.000 0.000
Ba -1.261 -4.208 1.141
Ba -3.328 -0.630 3.021
Er 2.092 5.187 3.389
Er 0.830 0.979 4.530
Er 2.897 -2.599 2.650
Ag 4.158 1.609 1.509
Te -0.030 -1.615 3.040
Te 1.691 3.572 6.020
Te -2.041 2.014 4.884
Te 3.702 -0.057 4.176
Te -0.821 6.083 3.777
Te 2.482 -4.126 5.283
Te 1.176 2.626 1.960
Te 0.485 -0.669 7.100